A plane-wave DFT calculation with SCAN was carried out for a crystal of Pb3Se2 relaxed with PBEsol.

a = 5.3062 Å, b = 5.3062 Å, c = 6.0625 Å
α = 90.00°, β = 90.00°, γ = 120.00°
Space group P-3m1 (No. 164)
Unique sites:
Pb  0.0000  0.0000  0.0000 x1
Pb  0.3333  0.6667  0.2812 x2
Se  0.3333  0.6667  0.7742 x2

Computed properties:
Density of states at the Fermi level ... 3.28 states/eV/f.u.
Volume ... 29.56 Å³ per atom
Formation energy without anion corrections ... -0.75 eV per formula unit
Raw total energy ... -53.649 eV/atom
Total moment ... 0.00 μB/f.u.
Theoretical density ... 8.76 Mg/m³

***

A plane-wave DFT calculation with SCAN was carried out for a crystal of NiIr2Ru relaxed with PBEsol.

a = 8.760 Å, b = 2.670 Å, c = 4.548 Å
α = 90.00°, β = 100.22°, γ = 90.00°
Space group Cm (No. 8)
Unique sites:
Ni  0.000  0.000  0.000 x2
Ir  0.000  0.500  0.494 x2
Ir  0.251  0.000  0.759 x2
Ru  0.250  0.500  0.250 x2

Computed properties:
Density of states at the Fermi level ... 4.02 states/eV/f.u.
Formation enthalpy at 0 K ... 0.014 eV/atom
Volume ... 13.08 Å³ per atom
Energy relative to the lowest polymorph listed for this composition ... 3.90 kJ/mol of atoms
Raw total energy ... -48.285 eV/atom
Total moment ... 1.09 μB/f.u.
Theoretical density ... 17.27 Mg/m³

***

A plane-wave DFT calculation with SCAN was carried out for a crystal of GeP3F relaxed with PBEsol.

a = 4.623 Å, b = 4.623 Å, c = 4.623 Å
α = 90.00°, β = 90.00°, γ = 90.00°
Space group Pm-3m (No. 221)
Unique sites:
Ge  0.000  0.000  0.000 x1
P  0.000  0.000  0.500 x3
F  0.500  0.500  0.500 x1

Computed properties:
Density of states at the Fermi level ... 2.10 states/eV/f.u.
Volume ... 19.76 Å³ per atom
Formation energy without anion corrections ... 5.03 eV per formula unit
Raw total energy ... -9.758 eV/atom
Total moment ... 0.00 μB/f.u.
Theoretical density ... 3.10 Mg/m³

***

A plane-wave DFT calculation with SCAN was carried out for a crystal of FeRe2Ru relaxed with PBEsol.

a = 2.690 Å, b = 4.244 Å, c = 4.616 Å
α = 90.00°, β = 90.00°, γ = 90.00°
Space group Pmm2 (No. 25)
Unique sites:
Fe  0.000  0.000  0.000 x1
Re  0.500  0.000  0.511 x1
Re  0.500  0.500  0.854 x1
Ru  0.000  0.500  0.342 x1

Computed properties:
Density of states at the Fermi level ... 3.04 states/eV/f.u.
Formation enthalpy at 0 K ... 0.024 eV/atom
Volume ... 13.17 Å³ per atom
Energy relative to the lowest polymorph listed for this composition ... 0.00 kJ/mol of atoms
Raw total energy ... -48.763 eV/atom
Total moment ... 1.68 μB/f.u.
Theoretical density ... 16.68 Mg/m³

***

A plane-wave DFT calculation with SCAN was carried out for a crystal of LiSb2PdS relaxed with PBEsol.

a = 5.054 Å, b = 5.054 Å, c = 4.552 Å
α = 90.00°, β = 90.00°, γ = 90.00°
Space group P4/mmm (No. 123)
Unique sites:
Li  0.000  0.000  0.000 x1
Sb  0.000  0.500  0.500 x2
Pd  0.000  0.000  0.500 x1
S  0.500  0.500  0.000 x1

Computed properties:
Density of states at the Fermi level ... 2.09 states/eV/f.u.
Volume ... 23.26 Å³ per atom
Formation energy without anion corrections ... 0.41 eV per formula unit
Raw total energy ... -23.781 eV/atom
Total moment ... 0.00 μB/f.u.
Theoretical density ... 5.55 Mg/m³

***

A plane-wave DFT calculation with SCAN was carried out for a crystal of MnAlSb3 relaxed with PBEsol.

a = 4.975 Å, b = 4.975 Å, c = 4.975 Å
α = 90.00°, β = 90.00°, γ = 90.00°
Space group Pm-3m (No. 221)
Unique sites:
Mn  0.000  0.000  0.000 x1
Al  0.500  0.500  0.500 x1
Sb  0.000  0.000  0.500 x3

Computed properties:
Density of states at the Fermi level ... 3.60 states/eV/f.u.
Volume ... 24.63 Å³ per atom
Formation energy without anion corrections ... 2.48 eV per formula unit
Raw total energy ... -27.061 eV/atom
Total moment ... 2.92 μB/f.u.
Theoretical density ... 6.03 Mg/m³

***

A plane-wave DFT calculation with SCAN was carried out for a crystal of SrPbSe2 relaxed with PBEsol.

a = 4.5573 Å, b = 4.5573 Å, c = 25.5625 Å
α = 90.00°, β = 90.00°, γ = 120.00°
Space group R-3m (No. 166, hexagonal axes)
Unique sites:
Sr  0.0000  0.0000  0.0000 x3
Pb  0.0000  0.0000  0.5000 x3
Se  0.0000  0.0000  0.3933 x6

Computed properties:
Density of states at the Fermi level ... 1.42 states/eV/f.u.
Volume ... 38.32 Å³ per atom
Formation energy without anion corrections ... -3.46 eV per formula unit
Raw total energy ... -35.419 eV/atom
Total moment ... 0.00 μB/f.u.
Theoretical density ... 4.91 Mg/m³

***

A plane-wave DFT calculation with SCAN was carried out for a crystal of KLi2Ta relaxed with PBEsol.

a = 2.721 Å, b = 5.774 Å, c = 6.113 Å
α = 90.00°, β = 90.00°, γ = 90.00°
Space group Pmmm (No. 47)
Unique sites:
K  0.000  0.000  0.000 x1
Li  0.000  0.500  0.500 x1
Li  0.500  0.500  0.000 x1
Ta  0.500  0.000  0.500 x1

Computed properties:
Density of states at the Fermi level ... 3.58 states/eV/f.u.
Formation enthalpy at 0 K ... 1.097 eV/atom
Volume ... 24.01 Å³ per atom
Energy relative to the lowest polymorph listed for this composition ... 0.00 kJ/mol of atoms
Raw total energy ... -18.826 eV/atom
Total moment ... 0.67 μB/f.u.
Theoretical density ... 4.04 Mg/m³

***

A plane-wave DFT calculation with SCAN was carried out for a crystal of MgSc2Pt relaxed with PBEsol.

a = 3.338 Å, b = 4.744 Å, c = 9.992 Å
α = 90.00°, β = 90.00°, γ = 90.00°
Space group Imm2 (No. 44)
Unique sites:
Mg  0.000  0.000  0.000 x2
Sc  0.000  0.000  0.424 x2
Sc  0.000  0.500  0.213 x2
Pt  0.000  0.500  0.717 x2

Computed properties:
Density of states at the Fermi level ... 3.34 states/eV/f.u.
Formation enthalpy at 0 K ... -0.743 eV/atom
Volume ... 19.78 Å³ per atom
Raw total energy ... -26.654 eV/atom
Total moment ... 0.00 μB/f.u.
Theoretical density ... 6.49 Mg/m³

***

A plane-wave DFT calculation with SCAN was carried out for a crystal of FePPtCl2 relaxed with PBEsol.

a = 4.831 Å, b = 4.831 Å, c = 4.580 Å
α = 90.00°, β = 90.00°, γ = 90.00°
Space group P4/mmm (No. 123)
Unique sites:
Fe  0.000  0.000  0.000 x1
P  0.500  0.500  0.000 x1
Pt  0.500  0.500  0.500 x1
Cl  0.000  0.500  0.500 x2

Computed properties:
Density of states at the Fermi level ... 3.13 states/eV/f.u.
Volume ... 21.37 Å³ per atom
Formation energy without anion corrections ... 2.68 eV per formula unit
Raw total energy ... -22.400 eV/atom
Total moment ... 3.81 μB/f.u.
Theoretical density ... 5.48 Mg/m³

***

A plane-wave DFT calculation with SCAN was carried out for a crystal of Sr2ReNiO6 relaxed with PBEsol.

a = 5.510 Å, b = 5.510 Å, c = 7.904 Å
α = 90.00°, β = 90.00°, γ = 90.00°
Space group I4/m (No. 87)
Unique sites:
Sr  0.000  0.500  0.250 x4
Re  0.000  0.000  0.000 x2
Ni  0.000  0.000  0.500 x2
O  0.000  0.000  0.241 x4
O  0.194  0.709  0.000 x8

Computed properties:
Density of states at the Fermi level ... 3.22 states/eV/f.u.
Volume ... 12.00 Å³ per atom
Formation energy without anion corrections ... -23.16 eV per formula unit
Raw total energy ... -19.237 eV/atom
Total moment ... 3.00 μB/f.u.
Theoretical density ... 7.14 Mg/m³

***

A plane-wave DFT calculation with SCAN was carried out for a crystal of Li2AgF6 relaxed with PBEsol.

a = 4.681 Å, b = 4.681 Å, c = 9.074 Å
α = 90.00°, β = 90.00°, γ = 90.00°
Space group P4_2/mnm (No. 136)
Unique sites:
Li  0.000  0.000  0.162 x4
Ag  0.000  0.000  0.500 x2
F  0.192  0.192  0.336 x8
F  0.193  0.193  0.000 x4

Computed properties:
Density of states at the Fermi level ... 4.11 states/eV/f.u.
Volume ... 11.04 Å³ per atom
Formation energy without anion corrections ... -17.42 eV per formula unit
Raw total energy ... -8.312 eV/atom
Total moment ... 1.00 μB/f.u.
Theoretical density ... 3.94 Mg/m³

***

Which of these has the lowest raw total energy? Pb3Se2

***

Look up the volume of the fifth one. 23.26 Å³ per atom

***

What is the formula in the twelfth record? Li2AgF6